VASP calculation (PBE) on a relaxed BaTaBe2 crystal.

a = 8.7010 Å, b = 8.7010 Å, c = 8.7010 Å
α = 21.64°, β = 21.64°, γ = 21.64°
Fractional coordinates of all 4 atoms:
Ta (0.2500, 0.2500, 0.2500)
Ba (0.7500, 0.7500, 0.7500)
Be (0.5170, 0.5170, 0.5170)
Be (0.9830, 0.9830, 0.9830)

Properties
V: 19.62 Å³/atom
Formation energy from the elements: 878 meV per atom
Space-group type: R-3m (166)
Energy above the most stable polymorph in this dataset: 436 meV/atom